# HfZrSn (PBE, optimized geometry)
# V, Å³/cell: 304.8
# Total energy, eV/atom: -7.46
data_HfZrSn
_chemical_formula_sum 'Hf4 Zr4 Sn4'
_cell_length_a 6.7298
_cell_length_b 6.7298
_cell_length_c 6.7298
_cell_angle_alpha 90.00
_cell_angle_beta 90.00
_cell_angle_gamma 90.00
_symmetry_space_group_name_H-M 'F -4 3 m'
_symmetry_Int_Tables_number 216
_symmetry_space_group_name_Hall 'F -4 2 3'
loop_
_atom_site_label
_atom_site_fract_x
_atom_site_fract_y
_atom_site_fract_z
Hf1 0.0000 0.0000 0.0000
Zr1 0.0000 0.0000 0.5000
Sn1 0.2500 0.2500 0.2500